B2Rh4Pb | PBE | relaxed

It has space group I-42d (No. 122), with a = 8.3593 Å, b = 8.3593 Å, c = 5.7765 Å, α = 90.00°, β = 90.00° and γ = 90.00°. The asymmetric unit holds B at (0.2450, 0.7500, 0.1250), Rh at (0.0817, 0.6982, 0.8614) and Pb at (0.0000, 0.0000, 0.0000).

The total energy comes out at -46.39 eV/f.u. Its formation enthalpy at 0 K is 0.0119 eV/atom.

---

La6ZnIn2Co | PBE | relaxed

It has space group P-1 (No. 2), with a = 6.6040 Å, b = 6.6168 Å, c = 6.6211 Å, α = 86.73°, β = 86.53° and γ = 86.70°. The asymmetric unit holds La at (0.0999, 0.2506, 0.3615), La at (0.2490, 0.1377, 0.9027), La at (0.3617, 0.5985, 0.7505), Zn at (0.5000, 0.0000, 0.5000), In at (0.2341, 0.7345, 0.2353) and Co at (0.0000, 0.5000, 0.0000).

The total energy comes out at -45.99 eV/f.u. Its formation enthalpy at 0 K is -0.2564 eV/atom.

---

KYC2Br | PBE | relaxed

It has space group P4/mmm (No. 123), with a = 4.5633 Å, b = 4.5633 Å, c = 5.4098 Å, α = 90.00°, β = 90.00° and γ = 90.00°. The asymmetric unit holds K at (0.0000, 0.0000, 0.0000), Y at (0.5000, 0.5000, 0.5000), C at (0.0000, 0.5000, 0.0000) and Br at (0.0000, 0.0000, 0.5000).

The total energy comes out at -16.94 eV/f.u. As for the formation energy (no corrections): 49.6 kcal/mol of atoms.

---

MnZnTe2Pb | PBE | relaxed

It has space group P4/mmm (No. 123), with a = 5.1739 Å, b = 5.1739 Å, c = 4.7240 Å, α = 90.00°, β = 90.00° and γ = 90.00°. The asymmetric unit holds Mn at (0.0000, 0.0000, 0.0000), Zn at (0.0000, 0.0000, 0.5000), Te at (0.0000, 0.5000, 0.0000) and Pb at (0.5000, 0.5000, 0.5000).

The total energy comes out at -19.64 eV/f.u. As for the formation energy (no corrections): 3.7 kcal/mol of atoms. The polymorph energy (0 for the lowest one) comes out at 0.000 eV per atom.

---

Ti3Al3Fe2Ru | PBE | relaxed

It has space group P-62m (No. 189), with a = 7.1246 Å, b = 7.1246 Å, c = 2.9570 Å, α = 90.00°, β = 90.00° and γ = 120.00°. The asymmetric unit holds Ti at (0.0000, 0.2946, 0.0000), Al at (0.0000, 0.6237, 0.5000), Fe at (0.3333, 0.6667, 0.0000) and Ru at (0.0000, 0.0000, 0.5000).

The total energy comes out at -64.55 eV/f.u. Its formation enthalpy at 0 K is -0.3816 eV/atom.

---

KCaAu2 | PBE | relaxed

It has space group C2/m (No. 12), with a = 7.5438 Å, b = 4.2778 Å, c = 8.3343 Å, α = 90.00°, β = 106.88° and γ = 90.00°. The asymmetric unit holds K at (0.0000, 0.0000, 0.0000), Ca at (0.0000, 0.5000, 0.5000) and Au at (0.2367, 0.0000, 0.7090).

The total energy comes out at -11.39 eV/f.u. Its formation enthalpy at 0 K is -0.4334 eV/atom.

---

CrFe2PtN | PBE | relaxed

It has space group P4/mmm (No. 123), with a = 3.8656 Å, b = 3.8656 Å, c = 3.8816 Å, α = 90.00°, β = 90.00° and γ = 90.00°. The asymmetric unit holds Cr at (0.0000, 0.0000, 0.0000), Fe at (0.0000, 0.5000, 0.5000), Pt at (0.5000, 0.5000, 0.0000) and N at (0.0000, 0.0000, 0.5000).

The total energy comes out at -42.18 eV/f.u. As for the formation energy (no corrections): -5.8 kcal/mol of atoms.

---

Cs2ThI8 | PBE | relaxed

It has space group C2/m (No. 12), with a = 14.2841 Å, b = 11.4839 Å, c = 9.5113 Å, α = 90.00°, β = 117.56° and γ = 90.00°. The asymmetric unit holds Cs at (0.2201, 0.0000, 0.3724), Th at (0.0000, 0.5000, 0.0000), I at (0.0855, 0.3128, 0.2604), I at (0.0855, 0.0000, 0.6545) and I at (0.2119, 0.5000, 0.9822).

The total energy comes out at -34.12 eV/f.u. As for the formation energy (no corrections): -26.4 kcal/mol of atoms.